Below is a geometry-optimized LiNpGa2O8 structure, with properties calculated at the GGA-PBE level.

Total magnetic moment, μB/atom: 0.17
ΔE_f (raw), eV per atom: -1.56

Unit cell a=6.8162 b=6.8162 c=6.6207 alpha=90.00 beta=90.00 gamma=90.00
Space group I-4m2 (No. 119)
Inequivalent atoms, fractional coordinates:
Li (0.0000, 0.0000, 0.0000) [2 per cell]
Np (0.0000, 0.5000, 0.7500) [2 per cell]
Ga (0.0000, 0.0000, 0.5000) [2 per cell]
Ga (0.0000, 0.5000, 0.2500) [2 per cell]
O (0.0000, 0.2171, 0.6644) [8 per cell]
O (0.0000, 0.3032, 0.0531) [8 per cell]

---

Below is a geometry-optimized HfPaTa2C4 structure, with properties calculated at the GGA-PBE level.

Total magnetic moment, μB/atom: 0.00
Formation energy from the elements, meV per atom: -648

Unit cell a=5.7246 b=3.2654 c=5.7804 alpha=90.00 beta=109.03 gamma=90.00
Space group P2/m (No. 10)
Inequivalent atoms, fractional coordinates:
Hf (0.0000, 0.0000, 0.0000) [1 per cell]
Pa (0.5000, 0.5000, 0.0000) [1 per cell]
Ta (0.0000, 0.5000, 0.5000) [1 per cell]
Ta (0.5000, 0.0000, 0.5000) [1 per cell]
C (0.2353, 0.0000, 0.7278) [2 per cell]
C (0.2500, 0.5000, 0.2637) [2 per cell]

---

Below is a geometry-optimized BaTl2Ru structure, with properties calculated at the GGA-PBE level.

Total magnetic moment, μB/atom: 0.00
Formation energy from the elements, meV per atom: 140

Unit cell a=8.1175 b=4.6943 c=6.7710 alpha=90.00 beta=113.66 gamma=90.00
Space group C2/m (No. 12)
Inequivalent atoms, fractional coordinates:
Ba (0.0000, 0.0000, 0.0000) [2 per cell]
Tl (0.2126, 0.0000, 0.6378) [4 per cell]
Ru (0.0000, 0.5000, 0.5000) [2 per cell]

---

Below is a geometry-optimized ReIrOs2 structure, with properties calculated at the GGA-PBE level.

Offset from the most stable computed form, eV per atom: 0.592
Total magnetic moment, μB/atom: 0.00
Formation energy from the elements, meV per atom: 478

Unit cell a=2.7321 b=4.6034 c=4.7865 alpha=90.00 beta=90.63 gamma=90.00
Space group P2/m (No. 10)
Inequivalent atoms, fractional coordinates:
Re (0.0000, 0.0000, 0.0000) [1 per cell]
Ir (0.5000, 0.0000, 0.5000) [1 per cell]
Os (0.3352, 0.5000, 0.7548) [2 per cell]

---

Below is a geometry-optimized SrAgIr2 structure, with properties calculated at the GGA-PBE level.

Offset from the most stable computed form, eV per atom: 0.501
Total magnetic moment, μB/atom: 0.00
Formation energy from the elements, meV per atom: 691

Unit cell a=6.7492 b=6.7492 c=6.7492 alpha=90.00 beta=90.00 gamma=90.00
Space group Fm-3m (No. 225)
Inequivalent atoms, fractional coordinates:
Sr (0.0000, 0.0000, 0.0000) [4 per cell]
Ag (0.0000, 0.0000, 0.5000) [4 per cell]
Ir (0.2500, 0.2500, 0.2500) [8 per cell]

---

Below is a geometry-optimized Mg12AlIn6 structure, with properties calculated at the GGA-PBE level.

Total magnetic moment, μB/atom: 0.00
Formation energy from the elements, meV per atom: -2

Unit cell a=13.0188 b=13.0188 c=9.3301 alpha=90.00 beta=90.00 gamma=120.00
Space group R-3 (No. 148, hexagonal axes)
Inequivalent atoms, fractional coordinates:
Mg (0.0481, 0.8113, 0.0771) [18 per cell]
Mg (0.0590, 0.8231, 0.4218) [18 per cell]
Al (0.0000, 0.0000, 0.0000) [3 per cell]
In (0.0493, 0.8361, 0.7504) [18 per cell]

---

Below is a geometry-optimized Nb2Al2Co5Si structure, with properties calculated at the GGA-PBE level.

Total magnetic moment, μB/atom: 0.00
ΔE_f (raw), eV per atom: -0.27

Unit cell a=9.6454 b=9.6454 c=2.7577 alpha=90.00 beta=90.00 gamma=90.00
Space group P4/mbm (No. 127)
Inequivalent atoms, fractional coordinates:
Nb (0.1735, 0.3265, 0.0000) [4 per cell]
Al (0.1341, 0.6341, 0.0000) [4 per cell]
Co (0.0000, 0.5000, 0.5000) [2 per cell]
Co (0.0386, 0.8087, 0.5000) [8 per cell]
Si (0.0000, 0.0000, 0.0000) [2 per cell]

---

Below is a geometry-optimized ZrTi7Bi2H2 structure, with properties calculated at the GGA-PBE level.

Total magnetic moment, μB/atom: 0.00
E_tot, eV per formula unit: -80.3

Unit cell a=5.8743 b=5.8740 c=11.9634 alpha=90.00 beta=104.12 gamma=90.00
Space group C2/m (No. 12)
Inequivalent atoms, fractional coordinates:
Zr (0.0000, 0.0000, 0.0000) [2 per cell]
Ti (0.0000, 0.5000, 0.0000) [2 per cell]
Ti (0.1561, 0.2498, 0.8115) [8 per cell]
Ti (0.1850, 0.5000, 0.3715) [4 per cell]
Bi (0.1875, 0.0000, 0.3765) [4 per cell]
H (0.0970, 0.5000, 0.1947) [4 per cell]

---

Below is a geometry-optimized Ba2CdGa2Sb4 structure, with properties calculated at the GGA-PBE level.

Total magnetic moment, μB/atom: 0.00
ΔE_f (raw), eV per atom: -0.53

Unit cell a=16.9970 b=4.9940 c=7.0761 alpha=90.00 beta=111.22 gamma=90.00
Space group C2/m (No. 12)
Inequivalent atoms, fractional coordinates:
Ba (0.1348, 0.0000, 0.0974) [4 per cell]
Cd (0.0000, 0.0000, 0.5000) [2 per cell]
Ga (0.1683, 0.5000, 0.4865) [4 per cell]
Sb (0.0010, 0.5000, 0.7596) [4 per cell]
Sb (0.2014, 0.0000, 0.6778) [4 per cell]

---

Below is a geometry-optimized RbSc3Ru structure, with properties calculated at the GGA-PBE level.

Offset from the most stable computed form, eV per atom: 0.000
Total magnetic moment, μB/atom: 0.00
Formation energy from the elements, meV per atom: 122

Unit cell a=5.2142 b=5.2142 c=5.2142 alpha=90.00 beta=90.00 gamma=90.00
Space group Pm-3m (No. 221)
Inequivalent atoms, fractional coordinates:
Rb (0.0000, 0.0000, 0.0000) [1 per cell]
Sc (0.0000, 0.5000, 0.5000) [3 per cell]
Ru (0.5000, 0.5000, 0.5000) [1 per cell]

---

Below is a geometry-optimized AlAg2Rh structure, with properties calculated at the GGA-PBE level.

Total magnetic moment, μB/atom: 0.00
Formation energy from the elements, meV per atom: -147

Unit cell a=3.1103 b=4.6211 c=8.9354 alpha=90.00 beta=90.00 gamma=90.00
Space group Imm2 (No. 44)
Inequivalent atoms, fractional coordinates:
Al (0.0000, 0.0000, 0.0000) [2 per cell]
Ag (0.0000, 0.0000, 0.4851) [2 per cell]
Ag (0.0000, 0.5000, 0.2581) [2 per cell]
Rh (0.0000, 0.5000, 0.7108) [2 per cell]

---

Below is a geometry-optimized La2TbDy6Y3 structure, with properties calculated at the GGA-PBE level.

Total magnetic moment, μB/atom: 0.00
Formation energy from the elements, meV per atom: 22

Unit cell a=6.2160 b=10.7652 c=11.8739 alpha=90.00 beta=100.03 gamma=90.00
Space group C2/m (No. 12)
Inequivalent atoms, fractional coordinates:
La (0.0000, 0.1664, 0.0000) [4 per cell]
Tb (0.0000, 0.5000, 0.0000) [2 per cell]
Dy (0.2470, 0.5000, 0.7465) [4 per cell]
Dy (0.2488, 0.1662, 0.7466) [8 per cell]
Y (0.0000, 0.0000, 0.5000) [2 per cell]
Y (0.0000, 0.3336, 0.5000) [4 per cell]

---

Below is a geometry-optimized NiBi3I structure, with properties calculated at the GGA-PBE level.

Offset from the most stable computed form, eV per atom: 0.449
Total magnetic moment, μB/atom: 0.00
ΔE_f (raw), eV per atom: 0.31

Unit cell a=5.2944 b=5.2944 c=5.2944 alpha=90.00 beta=90.00 gamma=90.00
Space group Pm-3m (No. 221)
Inequivalent atoms, fractional coordinates:
Ni (0.0000, 0.0000, 0.0000) [1 per cell]
Bi (0.0000, 0.0000, 0.5000) [3 per cell]
I (0.5000, 0.5000, 0.5000) [1 per cell]

---

Below is a geometry-optimized MnTe2SI structure, with properties calculated at the GGA-PBE level.

Offset from the most stable computed form, eV per atom: 0.000
Total magnetic moment, μB/atom: 0.99
ΔE_f (raw), eV per atom: 0.65

Unit cell a=5.2735 b=5.2735 c=5.5070 alpha=90.00 beta=90.00 gamma=90.00
Space group P4/mmm (No. 123)
Inequivalent atoms, fractional coordinates:
Mn (0.0000, 0.0000, 0.0000) [1 per cell]
Te (0.0000, 0.5000, 0.5000) [2 per cell]
S (0.5000, 0.5000, 0.5000) [1 per cell]
I (0.5000, 0.5000, 0.0000) [1 per cell]

---

Below is a geometry-optimized BaTlBiPb structure, with properties calculated at the GGA-PBE level.

Offset from the most stable computed form, eV per atom: 0.000
Total magnetic moment, μB/atom: 0.00
Formation energy from the elements, meV per atom: -415

Unit cell a=4.9802 b=5.1532 c=5.3709 alpha=90.00 beta=90.00 gamma=90.00
Space group Pmmm (No. 47)
Inequivalent atoms, fractional coordinates:
Ba (0.0000, 0.0000, 0.0000) [1 per cell]
Tl (0.5000, 0.5000, 0.0000) [1 per cell]
Bi (0.5000, 0.0000, 0.5000) [1 per cell]
Pb (0.0000, 0.5000, 0.5000) [1 per cell]

---

Below is a geometry-optimized NaScS2N structure, with properties calculated at the GGA-PBE level.

Offset from the most stable computed form, eV per atom: 0.960
Total magnetic moment, μB/atom: 0.60
ΔE_f (raw), eV per atom: 0.60

Unit cell a=4.8947 b=4.8947 c=4.0514 alpha=90.00 beta=90.00 gamma=90.00
Space group P4/mmm (No. 123)
Inequivalent atoms, fractional coordinates:
Na (0.0000, 0.0000, 0.0000) [1 per cell]
Sc (0.5000, 0.5000, 0.5000) [1 per cell]
S (0.0000, 0.5000, 0.0000) [2 per cell]
N (0.0000, 0.0000, 0.5000) [1 per cell]

---

Below is a geometry-optimized NdMgRuRh structure, with properties calculated at the GGA-PBE level.

Total magnetic moment, μB/atom: 0.00
Formation energy from the elements, meV per atom: -228

Unit cell a=6.6707 b=6.6707 c=6.6707 alpha=90.00 beta=90.00 gamma=90.00
Space group F-43m (No. 216)
Inequivalent atoms, fractional coordinates:
Nd (0.0000, 0.0000, 0.0000) [4 per cell]
Mg (0.0000, 0.0000, 0.5000) [4 per cell]
Ru (0.2500, 0.2500, 0.2500) [4 per cell]
Rh (0.2500, 0.2500, 0.7500) [4 per cell]

---

Below is a geometry-optimized CsLiPt2 structure, with properties calculated at the GGA-PBE level.

Total magnetic moment, μB/atom: 0.00
Formation energy from the elements, meV per atom: 584

Unit cell a=7.0119 b=7.0119 c=7.0119 alpha=90.00 beta=90.00 gamma=90.00
Space group Fm-3m (No. 225)
Inequivalent atoms, fractional coordinates:
Cs (0.0000, 0.0000, 0.0000) [4 per cell]
Li (0.0000, 0.0000, 0.5000) [4 per cell]
Pt (0.2500, 0.2500, 0.2500) [8 per cell]

---

Below is a geometry-optimized Ce3DyY2S6 structure, with properties calculated at the GGA-PBE level.

Total magnetic moment, μB/atom: 0.21
ΔE_f (raw), eV per atom: -2.03

Unit cell a=6.8411 b=11.8586 c=6.9365 alpha=90.00 beta=109.24 gamma=90.00
Space group C2/m (No. 12)
Inequivalent atoms, fractional coordinates:
Ce (0.0000, 0.0000, 0.0000) [2 per cell]
Ce (0.0000, 0.3331, 0.0000) [4 per cell]
Dy (0.0000, 0.5000, 0.5000) [2 per cell]
Y (0.0000, 0.1666, 0.5000) [4 per cell]
S (0.2459, 0.3336, 0.7386) [8 per cell]
S (0.2470, 0.0000, 0.7389) [4 per cell]

---

Below is a geometry-optimized ZnSbMo structure, with properties calculated at the GGA-PBE level.

Offset from the most stable computed form, eV per atom: 0.331
Total magnetic moment, μB/atom: 0.28
ΔE_f (raw), eV per atom: 0.41

Unit cell a=3.0671 b=3.0671 c=13.4928 alpha=90.00 beta=90.00 gamma=90.00
Space group I4mm (No. 107)
Inequivalent atoms, fractional coordinates:
Zn (0.0000, 0.0000, 0.0000) [2 per cell]
Sb (0.0000, 0.0000, 0.2640) [2 per cell]
Mo (0.0000, 0.0000, 0.6214) [2 per cell]

---

Below is a geometry-optimized Cd3Au7 structure, with properties calculated at the GGA-PBE level.

Total magnetic moment, μB/atom: 0.00
Formation energy from the elements, meV per atom: -138

Unit cell a=15.2676 b=4.2428 c=5.9357 alpha=90.00 beta=102.67 gamma=90.00
Space group C2/m (No. 12)
Inequivalent atoms, fractional coordinates:
Cd (0.0000, 0.0000, 0.0000) [2 per cell]
Cd (0.1978, 0.0000, 0.6114) [4 per cell]
Au (0.0000, 0.0000, 0.5000) [2 per cell]
Au (0.0985, 0.5000, 0.8030) [4 per cell]
Au (0.1014, 0.5000, 0.3049) [4 per cell]
Au (0.1999, 0.0000, 0.1077) [4 per cell]

---

Below is a geometry-optimized LiTa2As structure, with properties calculated at the GGA-PBE level.

Total magnetic moment, μB/atom: 0.00
Formation energy from the elements, meV per atom: -10

Unit cell a=3.5172 b=4.2952 c=8.5730 alpha=90.00 beta=90.00 gamma=90.00
Space group Immm (No. 71)
Inequivalent atoms, fractional coordinates:
Li (0.0000, 0.0000, 0.0000) [2 per cell]
Ta (0.0000, 0.5000, 0.2459) [4 per cell]
As (0.0000, 0.0000, 0.5000) [2 per cell]

---

Below is a geometry-optimized Ta4Nb3Sn structure, with properties calculated at the GGA-PBE level.

Total magnetic moment, μB/atom: 0.00
Formation energy from the elements, meV per atom: -7

Unit cell a=4.7435 b=4.7435 c=6.6450 alpha=90.00 beta=90.00 gamma=90.00
Space group P4/mmm (No. 123)
Inequivalent atoms, fractional coordinates:
Ta (0.0000, 0.5000, 0.2361) [4 per cell]
Nb (0.0000, 0.0000, 0.0000) [1 per cell]
Nb (0.0000, 0.0000, 0.5000) [1 per cell]
Nb (0.5000, 0.5000, 0.0000) [1 per cell]
Sn (0.5000, 0.5000, 0.5000) [1 per cell]

---

Below is a geometry-optimized ReAgAu2 structure, with properties calculated at the GGA-PBE level.

Offset from the most stable computed form, eV per atom: 0.178
Total magnetic moment, μB/atom: 0.23
Formation energy from the elements, meV per atom: 510

Unit cell a=2.7397 b=5.0142 c=10.2046 alpha=90.00 beta=90.00 gamma=90.00
Space group Imm2 (No. 44)
Inequivalent atoms, fractional coordinates:
Re (0.0000, 0.0000, 0.0000) [2 per cell]
Ag (0.0000, 0.5000, 0.7471) [2 per cell]
Au (0.0000, 0.0000, 0.5078) [2 per cell]
Au (0.0000, 0.5000, 0.2650) [2 per cell]

---

Below is a geometry-optimized MgTePb structure, with properties calculated at the GGA-PBE level.

Offset from the most stable computed form, eV per atom: 0.293
Total magnetic moment, μB/atom: 0.00
ΔE_f (raw), eV per atom: -0.06

Unit cell a=3.4713 b=3.4713 c=8.4168 alpha=90.00 beta=90.00 gamma=120.00
Space group P3m1 (No. 156)
Inequivalent atoms, fractional coordinates:
Mg (0.0000, 0.0000, 0.0000) [1 per cell]
Te (0.3333, 0.6667, 0.7355) [1 per cell]
Pb (0.6667, 0.3333, 0.3073) [1 per cell]